Here is a geometry-optimized AcLa2HoBi4 structure from Alexandria. Energies are from PBE.

For the total energy, the calculation gives -5.221 eV per atom. The calculated formation energy is -0.96 eV per atom. The total magnetization is 0.00 Bohr magnetons per cell. The calculation puts the calculated volume at 292.8 Å³/cell.

The structure belongs to space group P2/m (No. 10); the cell edges are 8.126, 4.702 and 8.129 Å and the angles 90.00°, 109.47° and 90.00°. The asymmetric unit holds Ac at (0.000, 0.000, 0.000), La at (0.500, 0.000, 0.500), La at (0.500, 0.500, 0.000), Ho at (0.000, 0.500, 0.500), Bi at (0.244, 0.000, 0.737) and Bi at (0.252, 0.500, 0.262).